(1)
The following is a DFT calculation (PBE-GGA) of crystalline TmPu3Pt8 at its relaxed geometry.

```
TmPu3Pt8
1.0
5.210 0.000 1.573
2.367 4.641 1.573
-0.003 -0.002 9.425
Tm Pu Pt
1 3 8
direct
0.876 0.876 0.372
0.374 0.374 0.877
0.002 0.002 0.994
0.498 0.498 0.505
0.935 0.437 0.190
0.440 0.938 0.685
0.437 0.437 0.190
0.938 0.938 0.685
0.188 0.188 0.437
0.687 0.687 0.938
0.437 0.935 0.190
0.938 0.440 0.685
```

SG: No. 160

(2)
The following is a DFT calculation (PBE-GGA) of crystalline TmPu4Pt5 at its relaxed geometry.

```
TmPu4Pt5
1.0
-3.234 -1.131 0.306
0.685 -2.553 -2.201
4.996 -10.556 13.802
Tm Pu Pt
1 4 5
direct
0.000 0.000 0.000
0.000 0.000 0.198
0.000 0.000 0.400
0.000 0.000 0.600
0.000 0.000 0.802
0.500 0.500 0.091
0.500 0.500 0.298
0.500 0.500 0.500
0.500 0.500 0.702
0.500 0.500 0.909
```

SG: No. 123

(3)
The following is a DFT calculation (PBE-GGA) of crystalline Tm2PuPt3 at its relaxed geometry.

```
Tm2PuPt3
1.0
3.422 0.000 0.000
0.000 3.422 0.000
0.000 0.000 10.676
Tm Pu Pt
2 1 3
direct
0.500 0.500 0.836
0.500 0.500 0.164
0.500 0.500 0.500
0.000 0.000 0.000
0.000 0.000 0.682
0.000 0.000 0.318
```

SG: No. 123

| no. | calculated total energy (eV/f.u.) | formation energy from the elements (eV/atom) |
| --- | --- | --- |
| 1 | -106.8 | -0.913 |
| 2 | -100.3 | -0.826 |
| 3 | -48.0 | -1.099 |